Computed, not measured: a relaxed YPt2Br crystal at the PBE level of DFT.

Cell lengths 3.960, 4.182, 6.132 Å; angles 90.00, 106.36, 90.00 degrees
Positions (direct):
Y 0.000 0.000 0.000
Pt 0.375 0.000 0.643
Pt 0.451 0.500 0.920
Br 0.427 0.500 0.342

## Properties
formation energy (no corrections): -2.34 eV per formula unit

***

Computed, not measured: a relaxed YPt2Br crystal at the PBE level of DFT.

Cell lengths 4.846, 4.846, 4.846 Å; angles 120.10, 120.10, 89.82 degrees
Positions (direct):
Y 0.000 0.000 0.000
Pt 0.500 0.500 0.000
Pt 0.750 0.250 0.500
Br 0.250 0.750 0.500

## Properties
formation energy (no corrections): -1.89 eV per formula unit

***

Computed, not measured: a relaxed YPt2Br crystal at the PBE level of DFT.

Cell lengths 5.792, 5.792, 5.792 Å; angles 145.71, 132.89, 59.55 degrees
Positions (direct):
Y 0.000 0.000 0.000
Pt 0.244 0.744 0.500
Pt 0.756 0.256 0.500
Br 0.500 0.500 0.000

## Properties
formation energy (no corrections): -2.46 eV per formula unit

***

Computed, not measured: a relaxed YPtBr2 crystal at the PBE level of DFT.

Cell lengths 9.820, 9.820, 9.820 Å; angles 152.57, 152.57, 39.19 degrees
Positions (direct):
Y 0.000 0.000 0.000
Y 0.750 0.250 0.500
Pt 0.250 0.750 0.500
Pt 0.500 0.500 0.000
Br 0.136 0.625 0.011
Br 0.375 0.386 0.511
Br 0.614 0.125 0.989
Br 0.875 0.864 0.489

## Properties
formation energy (no corrections): -2.45 eV per formula unit

***

Computed, not measured: a relaxed YPt2Br crystal at the PBE level of DFT.

Cell lengths 7.431, 7.431, 7.431 Å; angles 33.77, 33.77, 33.77 degrees
Positions (direct):
Y 0.000 0.000 0.000
Pt 0.416 0.416 0.416
Pt 0.746 0.746 0.746
Br 0.248 0.248 0.248

## Properties
formation energy (no corrections): -3.53 eV per formula unit

***

Computed, not measured: a relaxed YPt2Br crystal at the PBE level of DFT.

Cell lengths 5.353, 5.353, 4.481 Å; angles 99.70, 99.70, 39.67 degrees
Positions (direct):
Y 0.000 0.000 0.000
Pt 0.266 0.266 0.768
Pt 0.734 0.734 0.232
Br 0.500 0.500 0.500

## Properties
formation energy (no corrections): -2.49 eV per formula unit

***

Computed, not measured: a relaxed YPt2Br2 crystal at the PBE level of DFT.

Cell lengths 6.908, 6.908, 6.908 Å; angles 143.88, 143.88, 52.01 degrees
Positions (direct):
Y 0.000 0.000 0.000
Pt 0.398 0.398 0.000
Pt 0.602 0.602 0.000
Br 0.250 0.750 0.500
Br 0.750 0.250 0.500

## Properties
formation energy (no corrections): -0.86 eV per formula unit

***

Computed, not measured: a relaxed YPtBr2 crystal at the PBE level of DFT.

Cell lengths 8.088, 8.088, 8.088 Å; angles 153.38, 147.36, 42.61 degrees
Positions (direct):
Y 0.000 0.000 0.000
Pt 0.500 0.500 0.000
Br 0.144 0.644 0.500
Br 0.856 0.356 0.500

## Properties
formation energy (no corrections): -3.56 eV per formula unit

***

Computed, not measured: a relaxed YPtBr2 crystal at the PBE level of DFT.

Cell lengths 5.053, 5.053, 5.053 Å; angles 60.00, 60.00, 60.00 degrees
Positions (direct):
Y 0.000 0.000 0.000
Pt 0.750 0.750 0.750
Br 0.250 0.250 0.250
Br 0.500 0.500 0.500

## Properties
formation energy (no corrections): -2.36 eV per formula unit

***

Computed, not measured: a relaxed YPtBr2 crystal at the PBE level of DFT.

Cell lengths 5.742, 5.742, 6.103 Å; angles 97.64, 97.64, 38.38 degrees
Positions (direct):
Y 0.000 0.000 0.000
Pt 0.616 0.616 0.277
Br 0.289 0.289 0.018
Br 0.512 0.512 0.631

## Properties
formation energy (no corrections): -3.53 eV per formula unit

***

Computed, not measured: a relaxed YPtBr crystal at the PBE level of DFT.

Cell lengths 4.803, 4.803, 4.803 Å; angles 60.00, 60.00, 60.00 degrees
Positions (direct):
Y 0.000 0.000 0.000
Pt 0.750 0.750 0.750
Br 0.500 0.500 0.500

## Properties
formation energy (no corrections): -2.16 eV per formula unit

***

Computed, not measured: a relaxed YPtBr crystal at the PBE level of DFT.

Cell lengths 7.312, 7.312, 5.819 Å; angles 93.51, 93.51, 29.55 degrees
Positions (direct):
Y 0.138 0.138 0.421
Y 0.862 0.862 0.579
Pt 0.262 0.262 0.823
Pt 0.738 0.738 0.177
Br 0.451 0.451 0.243
Br 0.549 0.549 0.757

## Properties
formation energy (no corrections): -3.30 eV per formula unit